# Mn2PtPb (PBE, relaxed)
# - crystal system = orthorhombic
# - formation energy from the elements (kJ/mol of atoms) = 13.8
# - energy (eV per formula unit) = -27.5
# - D(E_F) (states/eV per cell) = 6.60
# - V (Å³/atom) = 17.4
data_Mn2PtPb
_cell_length_a 3.888
_cell_length_b 4.073
_cell_length_c 8.792
_cell_angle_alpha 90.00
_cell_angle_beta 90.00
_cell_angle_gamma 90.00
_space_group_name_H-M_alt 'I m m 2'
_space_group_IT_number 44
loop_
_space_group_symop_operation_xyz
'x,y,z'
'-x,-y,z'
'-x,y,z'
'x,-y,z'
'x+1/2,y+1/2,z+1/2'
'-x+1/2,-y+1/2,z+1/2'
'-x+1/2,y+1/2,z+1/2'
'x+1/2,-y+1/2,z+1/2'
loop_
_atom_site_label
_atom_site_fract_x
_atom_site_fract_y
_atom_site_fract_z
_atom_site_occupancy
Mn1 0.000 0.000 0.000 1
Mn2 0.000 0.500 0.248 1
Pt1 0.000 0.000 0.506 1
Pb1 0.000 0.500 0.754 1